Record 1
This record from Alexandria via LeMat-Bulk describes crystalline Cd2OsCl at its relaxed geometry. The functional is PBE-GGA.

Calculated values
Space-group type = No. 47
Formation energy (no corrections) = 0.792 eV/atom
Total DFT energy (no corrections) = -0.2157 Ry/atom
Calculated volume = 75.1 Å³/cell
Excess energy over the best structure of this formula in the dataset = 534 meV/atom

Unit cell a=2.8846 b=4.8878 c=5.3261 alpha=90.00 beta=90.00 gamma=90.00
Last column: nearest neighbours and their distance in Å.
Fractional coordinates of all 4 atoms:
1 Os 0.0000 0.5000 0.5000  4 Cl 2.84, 2 Os 2.88, 4 Cd 3.03
2 Cd 0.0000 0.0000 0.0000  6 Cd 2.84-2.88, 4 Cl 3.03
3 Cd 0.5000 0.5000 0.0000  6 Cd 2.84-2.88, 4 Os 3.03
4 Cl 0.5000 0.0000 0.5000  4 Os 2.84, 2 Cl 2.88, 4 Cd 3.03

***

Record 2
This record from Alexandria via LeMat-Bulk describes crystalline Cd2OsCl at its relaxed geometry. The functional is PBE-GGA.

Calculated values
Space-group type = No. 216
Formation energy (no corrections) = 0.942 eV/atom
Total DFT energy (no corrections) = -0.2047 Ry/atom
Calculated volume = 75.9 Å³/cell
Excess energy over the best structure of this formula in the dataset = 683 meV/atom

Unit cell a=4.7519 b=4.7519 c=4.7519 alpha=60.00 beta=60.00 gamma=60.00
Last column: nearest neighbours and their distance in Å.
Fractional coordinates of all 4 atoms:
1 Cd 0.0000 0.0000 0.0000  4 Cd 2.91, 4 Os 2.91
2 Cd 0.7500 0.7500 0.7500  4 Cd 2.91, 4 Cl 2.91
3 Os 0.2500 0.2500 0.2500  4 Cd 2.91, 4 Cl 2.91
4 Cl 0.5000 0.5000 0.5000  4 Os 2.91, 4 Cd 2.91

***

Record 3
This record from Alexandria via LeMat-Bulk describes crystalline Cd2OsRuCl at its relaxed geometry. The functional is PBE-GGA.

Calculated values
Space-group type = No. 123
Formation energy (no corrections) = 0.916 eV/atom
Total DFT energy (no corrections) = -0.2881 Ry/atom
Calculated volume = 130.2 Å³/cell

Unit cell a=5.3289 b=4.5861 c=5.3289 alpha=90.00 beta=90.00 gamma=90.00
Last column: nearest neighbours and their distance in Å.
Fractional coordinates of all 5 atoms:
1 Cd 0.0000 0.0000 0.5000  2 Os 2.66
2 Cd 0.5000 0.0000 0.0000  2 Os 2.66
3 Os 0.0000 0.0000 0.0000  2 Ru 2.29
4 Cl 0.5000 0.5000 0.5000  8 Cd 3.52, 4 Ru 3.77
5 Ru 0.0000 0.5000 0.0000  2 Os 2.29

***

Record 4
This record from Alexandria via LeMat-Bulk describes crystalline CdOsSCl2 at its relaxed geometry. The functional is PBE-GGA.

Calculated values
Space-group type = No. 123
Formation energy (no corrections) = 1.091 eV/atom
Total DFT energy (no corrections) = -0.2133 Ry/atom
Calculated volume = 131.4 Å³/cell
Excess energy over the best structure of this formula in the dataset = 958 meV/atom

Unit cell a=4.9753 b=4.9753 c=5.3087 alpha=90.00 beta=90.00 gamma=90.00
Last column: nearest neighbours and their distance in Å.
Fractional coordinates of all 5 atoms:
1 Cd 0.0000 0.0000 0.0000  4 Cl 2.49, 2 S 2.65
2 Os 0.5000 0.5000 0.5000  4 S 3.52, 8 Cl 3.64
3 Cl 0.0000 0.5000 0.0000  2 Cd 2.49
4 Cl 0.5000 0.0000 0.0000  2 Cd 2.49
5 S 0.0000 0.0000 0.5000  2 Cd 2.65

***

Record 5
This record from Alexandria via LeMat-Bulk describes crystalline CdOsSCl2 at its relaxed geometry. The functional is PBE-GGA.

Calculated values
Space-group type = No. 123
Formation energy (no corrections) = 0.133 eV/atom
Total DFT energy (no corrections) = -0.2837 Ry/atom
Calculated volume = 111.0 Å³/cell
Excess energy over the best structure of this formula in the dataset = 0 meV/atom

Unit cell a=4.9985 b=4.9985 c=4.4428 alpha=90.00 beta=90.00 gamma=90.00
Last column: nearest neighbours and their distance in Å.
Fractional coordinates of all 5 atoms:
1 S 0.0000 0.0000 0.5000  2 Os 2.22
2 Cl 0.5000 0.0000 0.0000  2 Os 2.50
3 Cl 0.0000 0.5000 0.0000  2 Os 2.50
4 Os 0.0000 0.0000 0.0000  2 S 2.22
5 Cd 0.5000 0.5000 0.5000  8 Cl 3.34, 4 S 3.53

***

Record 6
This record from Alexandria via LeMat-Bulk describes crystalline CdSn2OsCl at its relaxed geometry. The functional is PBE-GGA.

Calculated values
Space-group type = No. 123
Formation energy (no corrections) = 1.329 eV/atom
Total DFT energy (no corrections) = -0.2257 Ry/atom
Calculated volume = 157.2 Å³/cell

Unit cell a=5.5061 b=5.1846 c=5.5061 alpha=90.00 beta=90.00 gamma=90.00
Last column: nearest neighbours and their distance in Å.
Fractional coordinates of all 5 atoms:
1 Os 0.0000 0.5000 0.0000  2 Cd 2.59
2 Sn 0.5000 0.0000 0.0000  2 Cd 2.75
3 Sn 0.0000 0.0000 0.5000  2 Cd 2.75
4 Cd 0.0000 0.0000 0.0000  2 Os 2.59, 4 Sn 2.75
5 Cl 0.5000 0.5000 0.5000  8 Sn 3.78, 4 Os 3.89

***

Record 7
This record from Alexandria via LeMat-Bulk describes crystalline SrCdOsCl2 at its relaxed geometry. The functional is PBE-GGA.

Calculated values
Space-group type = No. 123
Formation energy (no corrections) = 0.644 eV/atom
Total DFT energy (no corrections) = -0.2102 Ry/atom
Calculated volume = 202.5 Å³/cell

Unit cell a=4.9096 b=8.4003 c=4.9096 alpha=90.00 beta=90.00 gamma=90.00
Last column: nearest neighbours and their distance in Å.
Fractional coordinates of all 5 atoms:
1 Cd 0.0000 0.0000 0.0000  4 Cl 2.45
2 Cl 0.0000 0.0000 0.5000  2 Cd 2.45
3 Cl 0.5000 0.0000 0.0000  2 Cd 2.45
4 Sr 0.0000 0.5000 0.0000  4 Os 3.47
5 Os 0.5000 0.5000 0.5000  4 Sr 3.47

***

Record 8
This record from Alexandria via LeMat-Bulk describes crystalline Cd2PCl at its relaxed geometry. The functional is PBE-GGA.

Calculated values
Space-group type = No. 12
Formation energy (no corrections) = 0.213 eV/atom
Total DFT energy (no corrections) = -0.1513 Ry/atom
Calculated volume = 89.0 Å³/cell
Excess energy over the best structure of this formula in the dataset = 657 meV/atom

Unit cell a=6.8347 b=6.8347 c=4.7596 alpha=72.48 beta=72.48 gamma=24.87
Last column: nearest neighbours and their distance in Å.
Fractional coordinates of all 4 atoms:
1 P 0.2500 0.2500 0.2500  4 Cl 2.80, 4 Cd 2.89, 2 P 2.94
2 Cd 0.9455 0.9455 0.0440  2 P 2.89, 6 Cd 2.94-3.14
3 Cd 0.5545 0.5545 0.4560  2 P 2.89, 6 Cd 2.94-3.14
4 Cl 0.7500 0.7500 0.7500  4 P 2.80, 2 Cl 2.94